No. 1
Computed, not measured: MgCo2Re after structural relaxation at the PBE level of DFT.

Cell: 4.3635 4.3635 2.7412 Å, 90.00 90.00 90.00°
Closest atoms and distances in Å follow each position.
Fractional coordinates of all 4 atoms:
Co: 0.0000 0.0000 0.0000  4 Re 2.58, 4 Mg 2.58, 2 Co 2.74
Co: 0.5000 0.5000 0.0000  4 Re 2.58, 4 Mg 2.58, 2 Co 2.74
Mg: 0.5000 0.0000 0.5000  8 Co 2.58, 2 Mg 2.74
Re: 0.0000 0.5000 0.5000  8 Co 2.58, 2 Re 2.74

Output
**Size of the total moment**: 2.01 μB/cell
**Formation enthalpy at 0 K**: 148 meV per atom
**SG**: P4/mmm, No. 123

=====

No. 2
Computed, not measured: Mg4CoRe after structural relaxation at the PBE level of DFT.

Cell: 5.2907 5.2907 5.2907 Å, 60.00 60.00 60.00°
Closest atoms and distances in Å follow each position.
Fractional coordinates of all 6 atoms:
Mg: 0.8739 0.3754 0.3754  6 Mg 2.64-2.65
Mg: 0.3754 0.3754 0.8739  6 Mg 2.64-2.65
Mg: 0.3754 0.8739 0.3754  6 Mg 2.64-2.65
Mg: 0.3754 0.3754 0.3754  6 Mg 2.64-2.65
Co: 0.0000 0.0000 0.0000  12 Mg 3.10, 4 Re 3.24
Re: 0.7500 0.7500 0.7500  12 Mg 3.10, 4 Co 3.24

Output
**Size of the total moment**: 2.97 μB/cell
**Formation enthalpy at 0 K**: 801 meV per atom
**SG**: F-43m, No. 216

=====

No. 3
Computed, not measured: MgCoRe2 after structural relaxation at the PBE level of DFT.

Cell: 2.7327 3.8896 5.4731 Å, 90.00 90.00 90.00°
Closest atoms and distances in Å follow each position.
Fractional coordinates of all 4 atoms:
Co: 0.0000 0.0000 0.5047  6 Re 2.64-2.84, 4 Mg 2.68, 2 Co 2.73
Mg: 0.5000 0.5000 0.7308  6 Re 2.68-2.87, 4 Co 2.68, 2 Mg 2.73
Re: 0.0000 0.0000 0.0232  2 Co 2.64-2.84, 6 Re 2.66-2.73, 4 Mg 2.87
Re: 0.5000 0.5000 0.2413  6 Re 2.66-2.73, 2 Mg 2.68-2.79, 4 Co 2.78

Output
**Size of the total moment**: 0.70 μB/cell
**Formation enthalpy at 0 K**: 288 meV per atom
**SG**: Pmm2, No. 25

=====

No. 4
Computed, not measured: MgCo2Re after structural relaxation at the PBE level of DFT.

Cell: 6.7024 6.7024 5.4345 Å, 51.93 51.93 90.00°
Closest atoms and distances in Å follow each position.
Fractional coordinates of all 8 atoms:
Re: 0.0000 0.0000 0.0000  4 Co 2.30
Re: 0.7500 0.2500 0.5000  4 Co 2.30
Mg: 0.5000 0.5000 0.0000  4 Co 2.64, 2 Re 2.66
Mg: 0.2500 0.7500 0.5000  4 Co 2.64, 2 Re 2.66
Co: 0.6628 0.1250 0.2500  2 Re 2.30
Co: 0.0872 0.6250 0.2500  2 Re 2.30
Co: 0.3750 0.3372 0.7500  2 Re 2.30
Co: 0.8750 0.9128 0.7500  2 Re 2.30

Output
**Size of the total moment**: 1.90 μB/cell
**Formation enthalpy at 0 K**: 682 meV per atom
**SG**: I-42d, No. 122